1.
Compound: Tl4CdAs
Source: Alexandria
Functional: GGA-PBE
Structure: optimized geometry

Results
- space group = F-43m
- E (eV/atom) = -2.192
- energy relative to the elements (eV/atom) = 0.3126

a = 6.398 Å, b = 6.398 Å, c = 6.398 Å
α = 60.00°, β = 60.00°, γ = 60.00°
Positions (direct):
Tl (0.124, 0.124, 0.124)
Tl (0.124, 0.124, 0.627)
Tl (0.124, 0.627, 0.124)
Tl (0.627, 0.124, 0.124)
Cd (0.500, 0.500, 0.500)
As (0.750, 0.750, 0.750)

---

2.
Compound: Tl2CdAs
Source: Alexandria
Functional: GGA-PBE
Structure: optimized geometry

Results
- space group = Pmm2
- E (eV/atom) = -2.506
- energy relative to the elements (eV/atom) = 0.0679
- distance to the lowest polymorph of the same formula (meV/atom) = 16

a = 3.450 Å, b = 3.937 Å, c = 8.004 Å
α = 90.00°, β = 90.00°, γ = 90.00°
Positions (direct):
Tl (0.000, 0.000, 0.000)
Tl (0.500, 0.500, 0.326)
Cd (0.500, 0.500, 0.743)
As (0.000, 0.000, 0.579)

---

3.
Compound: TlCdAs2
Source: Alexandria
Functional: GGA-PBE
Structure: optimized geometry

Results
- space group = P1
- E (eV/atom) = -3.067
- energy relative to the elements (eV/atom) = 0.0777
- distance to the lowest polymorph of the same formula (meV/atom) = 27

a = 3.599 Å, b = 5.635 Å, c = 5.637 Å
α = 115.42°, β = 90.32°, γ = 90.32°
Positions (direct):
Tl (0.000, 0.000, 0.000)
Cd (0.500, 0.717, 0.275)
As (0.000, 0.465, 0.534)
As (0.500, 0.280, 0.713)

---

> Which formula does entry 1 have?

Tl4CdAs

---

> Which of these has the highest E?

Tl4CdAs